Record 1
Compound: Tl2NiCl
Source: the Alexandria database
Functional: GGA-PBE
Structure: optimized geometry

Values from the calculation:
- Crystal system: tetragonal
- Symmetry: I-42d (122)
- Formation energy without anion corrections: 5 meV per atom
- Density: 6.304 g/cm³
- E above lowest polymorph: 0.131 eV per atom

a = 6.312 Å, b = 6.312 Å, c = 8.009 Å
α = 66.79°, β = 66.79°, γ = 90.00°
Atoms (fractional coordinates):
Ni: 0.000 0.000 0.000
Ni: 0.750 0.250 0.500
Tl: 0.699 0.125 0.250
Tl: 0.051 0.625 0.250
Tl: 0.375 0.301 0.750
Tl: 0.875 0.949 0.750
Cl: 0.500 0.500 0.000
Cl: 0.250 0.750 0.500

---

Record 2
Compound: Na2BiI4
Source: the Alexandria database
Functional: GGA-PBE
Structure: optimized geometry

Values from the calculation:
- Crystal system: tetragonal
- Symmetry: I-42m (121)
- Formation energy without anion corrections: -732 meV per atom
- Density: 4.225 g/cm³

a = 8.123 Å, b = 8.123 Å, c = 7.323 Å
α = 123.68°, β = 123.68°, γ = 90.00°
Each line ends with the local moment (μB).
Atoms (fractional coordinates):
Na: 0.750 0.250 0.500  0.00
Na: 0.250 0.750 0.500  0.00
Bi: 0.500 0.500 0.000  0.52
I: 0.846 0.324 0.169  0.03
I: 0.324 0.846 0.169  0.03
I: 0.676 0.676 0.831  0.03
I: 0.154 0.154 0.831  0.03